# 1
Compound: Li3AgSn2
Source: Alexandria via LeMat-Bulk
Functional: PBE-GGA
Structure: optimized geometry

Unit cell a=4.749 b=6.784 c=8.008 alpha=115.06 beta=105.08 gamma=90.00
Sites, in units of the cell vectors:
Li  0.500  0.250  0.000
Li  0.500  0.750  0.000
Li  0.770  0.086  0.672
Li  0.230  0.414  0.328
Li  0.230  0.914  0.328
Li  0.770  0.586  0.672
Ag  0.000  0.500  0.000
Ag  0.000  0.000  0.000
Sn  0.273  0.338  0.676
Sn  0.727  0.162  0.324
Sn  0.273  0.838  0.676
Sn  0.727  0.662  0.324

Output
M_tot: 0.0 Bohr magnetons per cell
ΔE_f: -0.31 eV/atom
Total DFT energy (no corrections): -3.072 eV per atom

---

# 2
Compound: BeZnMo2
Source: Alexandria via LeMat-Bulk
Functional: PBE-GGA
Structure: optimized geometry

Unit cell a=4.039 b=3.705 c=3.705 alpha=90.00 beta=90.00 gamma=90.00
Sites, in units of the cell vectors:
Be  0.500  0.000  0.500
Mo  0.000  0.000  0.000
Mo  0.000  0.500  0.500
Zn  0.500  0.500  0.000

Output
M_tot: 0.0 Bohr magnetons per cell
ΔE_f: 0.16 eV/atom
Total DFT energy (no corrections): -6.506 eV per atom

---

# 3
Compound: KSmHg2Cl8
Source: Alexandria via LeMat-Bulk
Functional: PBE-GGA
Structure: optimized geometry

Unit cell a=6.853 b=6.664 c=8.959 alpha=76.09 beta=81.95 gamma=87.83
Sites, in units of the cell vectors:
K  0.000  0.000  0.500
Sm  0.000  0.000  0.000
Hg  0.479  0.471  0.733
Hg  0.521  0.529  0.267
Cl  0.143  0.748  0.244
Cl  0.661  0.756  0.027
Cl  0.823  0.211  0.200
Cl  0.857  0.252  0.756
Cl  0.339  0.244  0.973
Cl  0.177  0.789  0.800
Cl  0.615  0.730  0.513
Cl  0.385  0.270  0.487

Output
M_tot: 0.0 Bohr magnetons per cell
Energy relative to the elements, uncorrected: -1.355 eV per atom
Total DFT energy (no corrections): -3.122 eV per atom

---

# 4
Compound: NdZr2Cr
Source: Alexandria via LeMat-Bulk
Functional: PBE-GGA
Structure: optimized geometry

Unit cell a=3.233 b=3.233 c=10.493 alpha=81.14 beta=81.14 gamma=60.00
Sites, in units of the cell vectors:
Cr  0.500  0.500  0.500
Nd  0.000  0.000  0.000
Zr  0.105  0.105  0.685
Zr  0.895  0.895  0.315

Output
M_tot: 0.0 Bohr magnetons per cell
ΔE_f: 0.46 eV/atom
Total DFT energy (no corrections): -7.408 eV per atom

---

# 5
Compound: V4Fe2Co
Source: Alexandria via LeMat-Bulk
Functional: PBE-GGA
Structure: optimized geometry

Unit cell a=4.192 b=4.192 c=6.494 alpha=71.17 beta=71.17 gamma=90.00
Sites, in units of the cell vectors:
Co  0.000  0.000  0.000
Fe  0.383  0.383  0.235
Fe  0.617  0.617  0.765
V  0.201  0.201  0.598
V  0.799  0.799  0.402
V  0.000  0.500  0.000
V  0.500  0.000  0.000

Output
M_tot: 0.0 Bohr magnetons per cell
ΔE_f: 0.77 eV/atom
Total DFT energy (no corrections): -7.871 eV per atom

---

# 6
Compound: Sc3ZnFe8
Source: Alexandria via LeMat-Bulk
Functional: PBE-GGA
Structure: optimized geometry

Unit cell a=4.877 b=4.877 c=8.446 alpha=73.22 beta=73.22 gamma=60.00
Site moments in Bohr magnetons follow the coordinates.
Sites, in units of the cell vectors:
Sc  0.375  0.375  0.874  -0.43
Sc  0.997  0.997  0.010  -0.36
Sc  0.503  0.503  0.492  -0.35
Zn  0.874  0.874  0.377  -0.06
Fe  0.937  0.436  0.190  1.86
Fe  0.440  0.938  0.684  1.76
Fe  0.436  0.436  0.190  1.86
Fe  0.938  0.938  0.684  1.76
Fe  0.187  0.187  0.438  1.70
Fe  0.688  0.688  0.936  1.85
Fe  0.436  0.937  0.190  1.86
Fe  0.938  0.440  0.684  1.76

Output
M_tot: 12.5 Bohr magnetons per cell
ΔE_f: -0.19 eV/atom
Total DFT energy (no corrections): -7.518 eV per atom

---

# 7
Compound: POs4F2
Source: Alexandria via LeMat-Bulk
Functional: PBE-GGA
Structure: optimized geometry

Unit cell a=4.468 b=4.468 c=6.325 alpha=69.32 beta=69.32 gamma=90.00
Site moments in Bohr magnetons follow the coordinates.
Sites, in units of the cell vectors:
P  0.000  0.000  0.000  -0.01
Os  0.801  0.801  0.397  0.03
Os  0.199  0.199  0.603  0.03
Os  0.000  0.500  0.000  0.98
Os  0.500  0.000  0.000  0.98
F  0.616  0.616  0.768  0.08
F  0.384  0.384  0.232  0.08

Output
M_tot: 2.3 Bohr magnetons per cell
Energy relative to the elements, uncorrected: 1.188 eV per atom
Total DFT energy (no corrections): -6.536 eV per atom

---

# 8
Compound: Ho8C3Se4O
Source: Alexandria via LeMat-Bulk
Functional: PBE-GGA
Structure: optimized geometry

Unit cell a=7.440 b=7.790 c=7.441 alpha=118.53 beta=120.00 gamma=90.00
Sites, in units of the cell vectors:
Ho  0.238  0.703  0.965
Ho  0.238  0.703  0.476
Ho  0.265  0.295  0.530
Ho  0.727  0.703  0.965
Ho  0.273  0.297  0.035
Ho  0.735  0.705  0.470
Ho  0.762  0.297  0.524
Ho  0.762  0.297  0.035
C  0.500  0.500  0.000
C  0.500  0.500  0.500
C  0.000  0.500  0.500
Se  0.500  0.000  0.000
Se  0.500  0.000  0.500
Se  0.000  0.000  0.000
Se  0.000  0.000  0.500
O  0.000  0.500  0.000

Output
M_tot: 0.0 Bohr magnetons per cell
Energy relative to the elements, uncorrected: -1.474 eV per atom
Total DFT energy (no corrections): -6.674 eV per atom